## one
# GGA-PBE YH6Rh2, optimized geometry
data_YH6Rh2
_symmetry_space_group_name_H-M 'P 1'
_symmetry_Int_Tables_number 1
_cell_length_a 3.9830
_cell_length_b 3.9830
_cell_length_c 5.7936
_cell_angle_alpha 109.17
_cell_angle_beta 109.17
_cell_angle_gamma 90.03
loop_
_symmetry_equiv_pos_as_xyz
'x,y,z'
loop_
_atom_site_label
_atom_site_fract_x
_atom_site_fract_y
_atom_site_fract_z
_atom_site_occupancy
Y1 0.0000 0.0000 0.0000 1
H1 0.1110 0.5869 0.1776 1
H2 0.2366 0.2366 0.5010 1
H3 0.4131 0.8890 0.8224 1
H4 0.5869 0.1110 0.1776 1
H5 0.7634 0.7634 0.4990 1
H6 0.8890 0.4131 0.8224 1
Rh1 0.2531 0.7469 0.5000 1
Rh2 0.7469 0.2531 0.5000 1
# Space group: C2/m, No. 12
# Total magnetic moment, μB per formula unit: 0.00
# Fermi-level density of states, states/eV/cell: 1.28

=====

## two
# GGA-PBE YH6Rh2, optimized geometry
data_YH6Rh2
_symmetry_space_group_name_H-M 'P 1'
_symmetry_Int_Tables_number 1
_cell_length_a 4.5131
_cell_length_b 4.5131
_cell_length_c 6.2122
_cell_angle_alpha 114.83
_cell_angle_beta 114.83
_cell_angle_gamma 47.82
loop_
_symmetry_equiv_pos_as_xyz
'x,y,z'
loop_
_atom_site_label
_atom_site_fract_x
_atom_site_fract_y
_atom_site_fract_z
_atom_site_occupancy
Y1 0.0000 0.0000 0.0000 1
H1 0.0005 0.0005 0.3514 1
H2 0.9995 0.9995 0.6486 1
H3 0.2923 0.2923 0.3767 1
H4 0.3162 0.3162 0.9385 1
H5 0.6838 0.6838 0.0615 1
H6 0.7077 0.7077 0.6233 1
Rh1 0.2008 0.2008 0.6347 1
Rh2 0.7992 0.7992 0.3653 1
# Space group: C2/m, No. 12
# Total magnetic moment, μB per formula unit: 0.00
# Fermi-level density of states, states/eV/cell: 2.39

=====

Least stable of them? two.

=====

## one
# GGA-PBE YH2Rh2, optimized geometry
data_YH2Rh2
_symmetry_space_group_name_H-M 'P 1'
_symmetry_Int_Tables_number 1
_cell_length_a 5.2465
_cell_length_b 5.2465
_cell_length_c 5.2465
_cell_angle_alpha 139.75
_cell_angle_beta 139.75
_cell_angle_gamma 58.24
loop_
_symmetry_equiv_pos_as_xyz
'x,y,z'
loop_
_atom_site_label
_atom_site_fract_x
_atom_site_fract_y
_atom_site_fract_z
_atom_site_occupancy
Y1 0.0000 0.0000 0.0000 1
H1 0.2500 0.7500 0.5000 1
H2 0.7500 0.2500 0.5000 1
Rh1 0.3307 0.3307 0.0000 1
Rh2 0.6693 0.6693 0.0000 1
# Space group: I4/mmm, No. 139
# Total magnetic moment, μB per formula unit: 0.00
# Fermi-level density of states, states/eV/cell: 3.65

=====

## two
# GGA-PBE YH2Rh2, optimized geometry
data_YH2Rh2
_symmetry_space_group_name_H-M 'P 1'
_symmetry_Int_Tables_number 1
_cell_length_a 3.8694
_cell_length_b 3.9257
_cell_length_c 4.4704
_cell_angle_alpha 90.00
_cell_angle_beta 90.18
_cell_angle_gamma 90.00
loop_
_symmetry_equiv_pos_as_xyz
'x,y,z'
loop_
_atom_site_label
_atom_site_fract_x
_atom_site_fract_y
_atom_site_fract_z
_atom_site_occupancy
Y1 0.0000 0.0000 0.0000 1
H1 0.0001 0.0000 0.5000 1
H2 0.4998 0.5000 0.4987 1
Rh1 0.0003 0.5000 0.5000 1
Rh2 0.5002 0.0000 0.5000 1
# Space group: Pm, No. 6
# Total magnetic moment, μB per formula unit: 0.00
# Fermi-level density of states, states/eV/cell: 2.73

=====

Least stable of them? one.

=====

## one
# GGA-PBE Y2H2Rh, optimized geometry
data_Y2H2Rh
_symmetry_space_group_name_H-M 'P 1'
_symmetry_Int_Tables_number 1
_cell_length_a 6.7807
_cell_length_b 6.7807
_cell_length_c 3.2054
_cell_angle_alpha 90.00
_cell_angle_beta 90.00
_cell_angle_gamma 90.00
loop_
_symmetry_equiv_pos_as_xyz
'x,y,z'
loop_
_atom_site_label
_atom_site_fract_x
_atom_site_fract_y
_atom_site_fract_z
_atom_site_occupancy
Y1 0.1823 0.3177 0.0000 1
Y2 0.3177 0.8177 0.0000 1
Y3 0.6823 0.1823 0.0000 1
Y4 0.8177 0.6823 0.0000 1
H1 0.1167 0.6167 0.5000 1
H2 0.3833 0.1167 0.5000 1
H3 0.6167 0.8833 0.5000 1
H4 0.8833 0.3833 0.5000 1
Rh1 0.0000 0.0000 0.5000 1
Rh2 0.5000 0.5000 0.5000 1
# Space group: P4/mbm, No. 127
# Total magnetic moment, μB per formula unit: 0.00
# Fermi-level density of states, states/eV/cell: 5.97

=====

## two
# GGA-PBE Y2H2Rh, optimized geometry
data_Y2H2Rh
_symmetry_space_group_name_H-M 'P 1'
_symmetry_Int_Tables_number 1
_cell_length_a 6.7757
_cell_length_b 6.7757
_cell_length_c 6.7757
_cell_angle_alpha 150.42
_cell_angle_beta 150.42
_cell_angle_gamma 42.33
loop_
_symmetry_equiv_pos_as_xyz
'x,y,z'
loop_
_atom_site_label
_atom_site_fract_x
_atom_site_fract_y
_atom_site_fract_z
_atom_site_occupancy
Y1 0.1378 0.1378 0.0000 1
Y2 0.8622 0.8622 0.0000 1
H1 0.2500 0.7500 0.5000 1
H2 0.7500 0.2500 0.5000 1
Rh1 0.5000 0.5000 0.0000 1
# Space group: I4/mmm, No. 139
# Total magnetic moment, μB per formula unit: 0.00
# Fermi-level density of states, states/eV/cell: 1.33

=====

Least stable of them? one.

=====

## one
# GGA-PBE Y2ZnHRh, optimized geometry
data_Y2ZnHRh
_symmetry_space_group_name_H-M 'P 1'
_symmetry_Int_Tables_number 1
_cell_length_a 4.8130
_cell_length_b 4.8130
_cell_length_c 3.7514
_cell_angle_alpha 90.00
_cell_angle_beta 90.00
_cell_angle_gamma 90.00
loop_
_symmetry_equiv_pos_as_xyz
'x,y,z'
loop_
_atom_site_label
_atom_site_fract_x
_atom_site_fract_y
_atom_site_fract_z
_atom_site_occupancy
Y1 0.0000 0.5000 0.0000 1
Y2 0.5000 0.0000 0.0000 1
Zn1 0.0000 0.0000 0.5000 1
H1 0.0000 0.0000 0.0000 1
Rh1 0.5000 0.5000 0.5000 1
# Space group: P4/mmm, No. 123
# Total magnetic moment, μB per formula unit: 0.00
# Fermi-level density of states, states/eV/cell: 1.42

=====

## two
# GGA-PBE Y2ZnHRh, optimized geometry
data_Y2ZnHRh
_symmetry_space_group_name_H-M 'P 1'
_symmetry_Int_Tables_number 1
_cell_length_a 4.9954
_cell_length_b 4.9954
_cell_length_c 3.5833
_cell_angle_alpha 90.00
_cell_angle_beta 90.00
_cell_angle_gamma 90.00
loop_
_symmetry_equiv_pos_as_xyz
'x,y,z'
loop_
_atom_site_label
_atom_site_fract_x
_atom_site_fract_y
_atom_site_fract_z
_atom_site_occupancy
Y1 0.0000 0.5000 0.0000 1
Y2 0.5000 0.0000 0.0000 1
Zn1 0.0000 0.0000 0.5000 1
H1 0.5000 0.5000 0.0000 1
Rh1 0.5000 0.5000 0.5000 1
# Space group: P4/mmm, No. 123
# Total magnetic moment, μB per formula unit: 0.00
# Fermi-level density of states, states/eV/cell: 4.15

=====

Least stable of them? one.

=====

## one
# GGA-PBE ZnH3Rh2, optimized geometry
data_ZnH3Rh2
_symmetry_space_group_name_H-M 'P 1'
_symmetry_Int_Tables_number 1
_cell_length_a 5.0074
_cell_length_b 5.0074
_cell_length_c 4.9002
_cell_angle_alpha 101.07
_cell_angle_beta 101.07
_cell_angle_gamma 110.01
loop_
_symmetry_equiv_pos_as_xyz
'x,y,z'
loop_
_atom_site_label
_atom_site_fract_x
_atom_site_fract_y
_atom_site_fract_z
_atom_site_occupancy
Zn1 0.0913 0.9087 0.5000 1
Zn2 0.9087 0.0913 0.0000 1
H1 0.0448 0.5427 0.9185 1
H2 0.2148 0.3892 0.4106 1
H3 0.3892 0.2148 0.9106 1
H4 0.4367 0.6071 0.8307 1
H5 0.5427 0.0448 0.4185 1
H6 0.6071 0.4367 0.3307 1
Rh1 0.3382 0.8999 0.0269 1
Rh2 0.5233 0.7185 0.5261 1
Rh3 0.7185 0.5233 0.0261 1
Rh4 0.8999 0.3382 0.5269 1
# Space group: Cc, No. 9
# Total magnetic moment, μB per formula unit: 0.00
# Fermi-level density of states, states/eV/cell: 3.55

=====

## two
# GGA-PBE ZnH3Rh2, optimized geometry
data_ZnH3Rh2
_symmetry_space_group_name_H-M 'P 1'
_symmetry_Int_Tables_number 1
_cell_length_a 4.4719
_cell_length_b 4.4719
_cell_length_c 5.5565
_cell_angle_alpha 90.00
_cell_angle_beta 90.00
_cell_angle_gamma 76.43
loop_
_symmetry_equiv_pos_as_xyz
'x,y,z'
loop_
_atom_site_label
_atom_site_fract_x
_atom_site_fract_y
_atom_site_fract_z
_atom_site_occupancy
Zn1 0.1437 0.8563 0.7500 1
Zn2 0.8563 0.1437 0.2500 1
H1 0.0517 0.3396 0.7500 1
H2 0.3396 0.0517 0.2500 1
H3 0.4602 0.5398 0.2500 1
H4 0.5398 0.4602 0.7500 1
H5 0.6604 0.9483 0.7500 1
H6 0.9483 0.6604 0.2500 1
Rh1 0.2992 0.2992 0.0000 1
Rh2 0.2992 0.2992 0.5000 1
Rh3 0.7008 0.7008 0.0000 1
Rh4 0.7008 0.7008 0.5000 1
# Space group: Cmcm, No. 63
# Total magnetic moment, μB per formula unit: 0.00
# Fermi-level density of states, states/eV/cell: 5.17

=====

Least stable of them? two.

=====

## one
# GGA-PBE ZnHRh3, optimized geometry
data_ZnHRh3
_symmetry_space_group_name_H-M 'P 1'
_symmetry_Int_Tables_number 1
_cell_length_a 3.8981
_cell_length_b 3.8981
_cell_length_c 3.8981
_cell_angle_alpha 90.00
_cell_angle_beta 90.00
_cell_angle_gamma 90.00
loop_
_symmetry_equiv_pos_as_xyz
'x,y,z'
loop_
_atom_site_label
_atom_site_fract_x
_atom_site_fract_y
_atom_site_fract_z
_atom_site_occupancy
Zn1 0.0000 0.0000 0.0000 1
H1 0.5000 0.5000 0.5000 1
Rh1 0.0000 0.5000 0.5000 1
Rh2 0.5000 0.0000 0.5000 1
Rh3 0.5000 0.5000 0.0000 1
# Space group: Pm-3m, No. 221
# Total magnetic moment, μB per formula unit: 0.00
# Fermi-level density of states, states/eV/cell: 3.42

=====

## two
# GGA-PBE ZnHRh3, optimized geometry
data_ZnHRh3
_symmetry_space_group_name_H-M 'P 1'
_symmetry_Int_Tables_number 1
_cell_length_a 4.5944
_cell_length_b 4.5944
_cell_length_c 4.5944
_cell_angle_alpha 90.00
_cell_angle_beta 90.00
_cell_angle_gamma 90.00
loop_
_symmetry_equiv_pos_as_xyz
'x,y,z'
loop_
_atom_site_label
_atom_site_fract_x
_atom_site_fract_y
_atom_site_fract_z
_atom_site_occupancy
Zn1 0.0000 0.0000 0.0000 1
H1 0.5000 0.5000 0.5000 1
Rh1 0.0000 0.0000 0.5000 1
Rh2 0.0000 0.5000 0.0000 1
Rh3 0.5000 0.0000 0.0000 1
# Space group: Pm-3m, No. 221
# Total magnetic moment, μB per formula unit: 3.85
# Fermi-level density of states, states/eV/cell: 9.06

=====

Least stable of them? two.